Entry 1:
4
Lattice="4.685 0.000 0.000 2.343 4.058 0.000 2.343 1.353 3.825" Properties=species:S:1:pos:R:3 comment="LiZrAs2 (PBE-GGA, optimized geometry)" total_magnetization_mub_per_atom=0.001 spacegroup=F-43m total_energy_ev_per_atom=-5.054 dos_ef_per_ev_cell=4.98 de_polymorph_mev_per_atom=697 vol_a3_per_atom=18.181 pbc="T T T"
As 2.343 1.353 0.956
As 0.000 0.000 0.000
Li 4.685 2.705 1.913
Zr 7.028 4.058 2.869

Entry 2:
5
Lattice="-4.330 -1.263 3.810 0.879 -5.767 -0.912 3.916 -0.101 4.417" Properties=species:S:1:pos:R:3 comment="CsCa3Tl (PBE-GGA, optimized geometry)" total_magnetization_mub_per_atom=0.000 spacegroup=Pm-3m total_energy_ev_per_atom=-0.863 dos_ef_per_ev_cell=6.19 de_polymorph_mev_per_atom=989 vol_a3_per_atom=41.161 pbc="T T T"
Cs 0.000 0.000 0.000
Tl 0.233 -3.565 3.658
Ca 1.958 -0.051 2.209
Ca 0.440 -2.883 -0.456
Ca -2.165 -0.631 1.905

Entry 3:
12
Lattice="6.631 -0.781 0.000 -4.356 7.060 0.000 0.000 0.000 10.752" Properties=species:S:1:pos:R:3 comment="Ac4SnC (PBE-GGA, optimized geometry)" total_magnetization_mub_per_atom=0.000 spacegroup=P2_1/m total_energy_ev_per_atom=-5.075 dos_ef_per_ev_cell=6.42 vol_a3_per_atom=38.897 pbc="T T T"
Ac 0.198 5.679 2.688
Sn 4.058 3.383 8.064
Ac -3.222 5.231 0.535
Ac 1.473 1.594 2.688
Ac 2.077 0.600 8.064
C -3.924 6.369 2.688
Ac 5.498 1.047 10.217
Sn -1.783 2.895 2.688
C 6.200 -0.091 8.064
Ac -3.222 5.231 4.841
Ac 5.498 1.047 5.912
Ac 0.802 4.684 8.064

Entry 4:
10
Lattice="-3.086 1.753 -0.368 0.416 -0.314 -4.980 -5.799 -13.761 0.384" Properties=species:S:1:pos:R:3 comment="PmSmHg3 (PBE-GGA, optimized geometry)" total_magnetization_mub_per_atom=0.026 spacegroup=Cmcm total_energy_ev_per_atom=-2.490 dos_ef_per_ev_cell=9.00 vol_a3_per_atom=26.497 pbc="T T T"
Hg -1.577 0.033 -3.910
Sm -2.779 -5.659 -3.651
Hg -4.064 -3.808 -1.358
Hg -3.002 -2.468 -3.871
Hg -5.467 -9.855 -1.094
Pm -7.473 -10.313 -3.750
Hg -6.892 -12.356 -1.055
Hg -4.405 -8.514 -3.607
Sm -5.690 -6.663 -1.314
Pm -0.996 -2.009 -1.215

Entry 5:
10
Lattice="6.499 0.000 0.000 0.000 6.623 0.000 0.000 -3.311 8.761" Properties=species:S:1:pos:R:3 comment="AcPmPrDy2 (PBE-GGA, optimized geometry)" total_magnetization_mub_per_atom=0.000 spacegroup=Cmcm total_energy_ev_per_atom=-4.217 dos_ef_per_ev_cell=16.74 vol_a3_per_atom=37.709 pbc="T T T"
Dy 3.250 5.014 0.000
Pr 1.625 3.311 6.089
Dy 0.000 1.609 0.000
Ac 1.625 3.311 2.743
Dy 0.000 5.014 0.000
Pr 4.874 0.000 2.672
Dy 3.250 1.609 0.000
Pm 1.625 0.000 3.833
Pm 4.874 3.311 4.927
Ac 4.874 0.000 6.018

Entry 6:
30
Lattice="-2.053 5.419 -3.173 -4.693 -3.975 2.412 0.266 12.951 21.910" Properties=species:S:1:pos:R:3 comment="LaY12Sc2 (PBE-GGA, optimized geometry)" total_magnetization_mub_per_atom=0.000 spacegroup=C2/m total_energy_ev_per_atom=-6.133 dos_ef_per_ev_cell=61.31 vol_a3_per_atom=33.102 pbc="T T T"
Y -3.193 9.522 14.506
Y -6.659 5.595 6.263
Y -1.541 7.678 12.177
Y -2.679 4.777 1.110
Y 0.179 8.800 14.887
Y -1.438 12.276 19.969
Y -2.481 14.315 17.247
Y 0.053 2.591 4.383
Y -6.533 11.804 16.767
Sc -4.330 6.806 3.743
Sc -5.650 2.109 6.535
Y -3.286 4.873 6.643
Y -2.554 11.041 11.705
Y -1.669 1.397 1.561
Y -3.929 3.354 9.443
Y -3.801 9.618 20.040
Y -5.042 2.119 1.181
Y -2.606 8.051 6.652
Sc -2.150 7.589 17.407
Y -1.566 5.995 9.353
Y -3.160 11.082 17.147
La -2.349 -1.987 1.206
Y -4.916 8.392 11.802
Y -4.937 6.725 8.968
Y -3.320 3.313 4.003
Y -3.871 6.344 14.499
Y -3.999 0.080 3.902
Y -4.811 12.998 19.588
La -5.451 11.685 22.736
Sc -0.830 12.286 14.614